(1)
# GGA+U MnCd2BO4, relaxed
# **Symmetry**: No. 15
# **Uncorrected energy**: -5.729 eV per atom
data_MnCd2BO4
_cell_length_a 6.720
_cell_length_b 6.720
_cell_length_c 6.499
_cell_angle_alpha 111.14
_cell_angle_beta 111.14
_cell_angle_gamma 103.31
_space_group_name_H-M_alt 'P 1'
_space_group_IT_number 1
loop_
_space_group_symop_operation_xyz
'x,y,z'
loop_
_atom_site_label
_atom_site_type_symbol
_atom_site_fract_x
_atom_site_fract_y
_atom_site_fract_z
Mn1 Mn 0.000 0.000 0.000
Mn2 Mn 0.000 0.000 0.500
Cd1 Cd 0.000 0.500 0.000
Cd2 Cd 0.500 0.000 0.500
Cd3 Cd 0.500 0.500 0.000
Cd4 Cd 0.500 0.500 0.500
B1 B 0.000 0.500 0.500
B2 B 0.500 0.000 0.000
O1 O 0.122 0.650 0.468
O2 O 0.162 0.254 0.929
O3 O 0.254 0.162 0.429
O4 O 0.350 0.878 0.032
O5 O 0.650 0.122 0.968
O6 O 0.746 0.838 0.571
O7 O 0.838 0.746 0.071
O8 O 0.878 0.350 0.532


(2)
# GGA+U Mn3CdB4O12, relaxed
# **Symmetry**: No. 155
# **Uncorrected energy**: -7.225 eV per atom
data_Mn3CdB4O12
_cell_length_a 6.011
_cell_length_b 6.011
_cell_length_c 6.011
_cell_angle_alpha 104.23
_cell_angle_beta 104.23
_cell_angle_gamma 104.23
_space_group_name_H-M_alt 'P 1'
_space_group_IT_number 1
loop_
_space_group_symop_operation_xyz
'x,y,z'
loop_
_atom_site_label
_atom_site_type_symbol
_atom_site_fract_x
_atom_site_fract_y
_atom_site_fract_z
Mn1 Mn 0.000 0.557 0.443
Mn2 Mn 0.443 0.000 0.557
Mn3 Mn 0.557 0.443 0.000
Cd1 Cd 0.000 0.000 0.000
B1 B 0.059 0.500 0.941
B2 B 0.500 0.500 0.500
B3 B 0.500 0.941 0.059
B4 B 0.941 0.059 0.500
O1 O 0.031 0.628 0.781
O2 O 0.088 0.912 0.500
O3 O 0.219 0.372 0.969
O4 O 0.354 0.646 0.500
O5 O 0.372 0.969 0.219
O6 O 0.500 0.088 0.912
O7 O 0.500 0.354 0.646
O8 O 0.628 0.781 0.031
O9 O 0.646 0.500 0.354
O10 O 0.781 0.031 0.628
O11 O 0.912 0.500 0.088
O12 O 0.969 0.219 0.372